Record 1
First-principles (PBE) data for a relaxed TaReSb crystal, as listed in Alexandria.

Cell: 5.777 5.777 3.212 Å, 105.76 105.76 32.28°
Atoms (fractional coordinates):
Ta 0.000 0.000 0.000
Re 0.355 0.355 0.367
Sb 0.692 0.692 0.700

The value obtained for the density of states at the Fermi level is 2.3 states/eV/f.u. The total moment is 0.00 μB per formula unit. The calculation puts the uncorrected formation energy at 0.282 eV/atom. As for the raw total energy: -27.6 eV for the cell shown.


Record 2
First-principles (PBE) data for a relaxed TaRe2Sb crystal, as listed in Alexandria.

Cell: 10.116 10.116 10.116 Å, 157.27 157.27 32.36°
Atoms (fractional coordinates):
Ta 0.000 0.000 0.000
Ta 0.750 0.250 0.500
Re 0.068 0.625 0.943
Re 0.375 0.318 0.443
Re 0.682 0.125 0.057
Re 0.875 0.932 0.557
Sb 0.250 0.750 0.500
Sb 0.500 0.500 0.000

The value obtained for the density of states at the Fermi level is 3.3 states/eV/f.u. The total moment is 0.00 μB per formula unit. The calculation puts the uncorrected formation energy at 0.849 eV/atom. As for the raw total energy: -75.0 eV for the cell shown.


Record 3
First-principles (PBE) data for a relaxed TaRe2Sb crystal, as listed in Alexandria.

Cell: 2.969 4.611 5.153 Å, 90.00 90.71 90.00°
Atoms (fractional coordinates):
Ta 0.000 0.000 0.000
Re 0.340 0.500 0.227
Re 0.660 0.500 0.773
Sb 0.500 0.000 0.500

The value obtained for the density of states at the Fermi level is 2.8 states/eV/f.u. The total moment is 0.00 μB per formula unit. The calculation puts the uncorrected formation energy at 0.404 eV/atom. As for the raw total energy: -39.3 eV for the cell shown.


Record 4
First-principles (PBE) data for a relaxed TaRe2Sb crystal, as listed in Alexandria.

Cell: 5.192 5.192 4.630 Å, 106.92 106.92 35.17°
Atoms (fractional coordinates):
Ta 0.000 0.000 0.000
Re 0.242 0.242 0.682
Re 0.511 0.511 0.527
Sb 0.761 0.761 0.213

The value obtained for the density of states at the Fermi level is 2.9 states/eV/f.u. The total moment is 0.00 μB per formula unit. The calculation puts the uncorrected formation energy at 0.278 eV/atom. As for the raw total energy: -39.8 eV for the cell shown.